[1]
Compound: Sr2TaBe
Source: Alexandria via LeMat-Bulk
Functional: PBE
Structure: relaxed

Properties
Size of the total moment ... 0.2546 μB/atom
Formation energy ... 591 meV per atom
VASP energy ... -4.144 eV/atom
SG ... P4mm (99)

a b c (Å): 3.474 3.474 9.203
angles (deg): 90.00 90.00 90.00
Fractional positions:
Sr (0.000, 0.000, 0.000)
Sr (0.500, 0.500, 0.395)
Ta (0.500, 0.500, 0.733)
Be (0.000, 0.000, 0.654)



[2]
Compound: SrTa2Be
Source: Alexandria via LeMat-Bulk
Functional: PBE
Structure: relaxed

Properties
Size of the total moment ... 0.0000 μB/atom
Formation energy ... 975 meV per atom
VASP energy ... -6.303 eV/atom
SG ... Pmmm (47)

a b c (Å): 3.019 4.990 5.373
angles (deg): 90.00 90.00 90.00
Fractional positions:
Sr (0.000, 0.000, 0.000)
Ta (0.000, 0.500, 0.500)
Ta (0.500, 0.000, 0.500)
Be (0.500, 0.500, 0.000)



[3]
Compound: SrTa2Be
Source: Alexandria via LeMat-Bulk
Functional: PBE
Structure: relaxed

Properties
Size of the total moment ... 0.0000 μB/atom
Formation energy ... 943 meV per atom
VASP energy ... -6.335 eV/atom
SG ... F-43m (216)

a b c (Å): 6.800 6.800 6.800
angles (deg): 90.00 90.00 90.00
Fractional positions:
Sr (0.000, 0.000, 0.000)
Sr (0.000, 0.500, 0.500)
Sr (0.500, 0.000, 0.500)
Sr (0.500, 0.500, 0.000)
Ta (0.000, 0.000, 0.500)
Ta (0.000, 0.500, 0.000)
Ta (0.250, 0.250, 0.250)
Ta (0.250, 0.750, 0.750)
Ta (0.500, 0.000, 0.000)
Ta (0.500, 0.500, 0.500)
Ta (0.750, 0.250, 0.750)
Ta (0.750, 0.750, 0.250)
Be (0.250, 0.250, 0.750)
Be (0.250, 0.750, 0.250)
Be (0.750, 0.250, 0.250)
Be (0.750, 0.750, 0.750)



[4]
Compound: SrTa2Be
Source: Alexandria via LeMat-Bulk
Functional: PBE
Structure: relaxed

Properties
Size of the total moment ... 0.0000 μB/atom
Formation energy ... 1085 meV per atom
VASP energy ... -6.193 eV/atom
SG ... P4/mmm (123)

a b c (Å): 4.195 4.195 4.526
angles (deg): 90.00 90.00 90.00
Fractional positions:
Sr (0.000, 0.000, 0.000)
Ta (0.000, 0.500, 0.500)
Ta (0.500, 0.000, 0.500)
Be (0.500, 0.500, 0.000)



[5]
Compound: SrTa2Be
Source: Alexandria via LeMat-Bulk
Functional: PBE
Structure: relaxed

Properties
Size of the total moment ... 0.0000 μB/atom
Formation energy ... 1015 meV per atom
VASP energy ... -6.263 eV/atom
SG ... C2/m (12)

a b c (Å): 5.807 10.677 2.962
angles (deg): 90.00 118.08 90.00
Fractional positions:
Sr (0.000, 0.000, 0.000)
Sr (0.500, 0.500, 0.000)
Ta (0.250, 0.250, 0.500)
Ta (0.250, 0.750, 0.500)
Ta (0.750, 0.250, 0.500)
Ta (0.750, 0.750, 0.500)
Be (0.000, 0.500, 0.000)
Be (0.500, 0.000, 0.000)



[6]
Compound: Sr2TaBe
Source: Alexandria via LeMat-Bulk
Functional: PBE
Structure: relaxed

Properties
Size of the total moment ... 0.1367 μB/atom
Formation energy ... 749 meV per atom
VASP energy ... -3.987 eV/atom
SG ... Imm2 (44)

a b c (Å): 3.344 5.527 11.646
angles (deg): 90.00 90.00 90.00
Fractional positions:
Sr (0.000, 0.000, 0.000)
Sr (0.000, 0.500, 0.203)
Sr (0.500, 0.000, 0.703)
Sr (0.500, 0.500, 0.500)
Ta (0.000, 0.500, 0.802)
Ta (0.500, 0.000, 0.302)
Be (0.000, 0.000, 0.456)
Be (0.500, 0.500, 0.956)



[7]
Compound: Sr2TaBe
Source: Alexandria via LeMat-Bulk
Functional: PBE
Structure: relaxed

Properties
Size of the total moment ... 0.0001 μB/atom
Formation energy ... 1132 meV per atom
VASP energy ... -3.604 eV/atom
SG ... Cmmm (65)

a b c (Å): 6.550 9.728 3.292
angles (deg): 90.00 90.00 90.00
Fractional positions:
Sr (0.250, 0.250, 0.000)
Sr (0.250, 0.750, 0.000)
Sr (0.750, 0.250, 0.000)
Sr (0.750, 0.750, 0.000)
Ta (0.000, 0.000, 0.500)
Ta (0.500, 0.500, 0.500)
Be (0.000, 0.500, 0.500)
Be (0.500, 0.000, 0.500)



[8]
Compound: SrTa2Be
Source: Alexandria via LeMat-Bulk
Functional: PBE
Structure: relaxed

Properties
Size of the total moment ... 0.0000 μB/atom
Formation energy ... 1005 meV per atom
VASP energy ... -6.273 eV/atom
SG ... Imm2 (44)

a b c (Å): 3.067 5.550 9.972
angles (deg): 90.00 90.00 90.00
Fractional positions:
Sr (0.000, 0.000, 0.000)
Sr (0.500, 0.500, 0.500)
Ta (0.000, 0.000, 0.472)
Ta (0.000, 0.500, 0.199)
Ta (0.500, 0.000, 0.699)
Ta (0.500, 0.500, 0.972)
Be (0.000, 0.500, 0.767)
Be (0.500, 0.000, 0.267)



[9]
Compound: SrTa2Be
Source: Alexandria via LeMat-Bulk
Functional: PBE
Structure: relaxed

Properties
Size of the total moment ... 0.0002 μB/atom
Formation energy ... 465 meV per atom
VASP energy ... -6.813 eV/atom
SG ... P4mm (99)

a b c (Å): 3.417 3.417 7.398
angles (deg): 90.00 90.00 90.00
Fractional positions:
Sr (0.000, 0.000, 0.000)
Ta (0.000, 0.000, 0.539)
Ta (0.500, 0.500, 0.357)
Be (0.500, 0.500, 0.686)



[10]
Compound: Sr2TaBe
Source: Alexandria via LeMat-Bulk
Functional: PBE
Structure: relaxed

Properties
Size of the total moment ... 0.7188 μB/atom
Formation energy ... 1102 meV per atom
VASP energy ... -3.634 eV/atom
SG ... I-42d (122)

a b c (Å): 11.167 11.167 4.701
angles (deg): 90.00 90.00 90.00
Fractional positions:
Sr (0.084, 0.250, 0.125)
Sr (0.250, 0.584, 0.375)
Sr (0.250, 0.916, 0.875)
Sr (0.416, 0.250, 0.625)
Sr (0.584, 0.750, 0.625)
Sr (0.750, 0.084, 0.875)
Sr (0.750, 0.416, 0.375)
Sr (0.916, 0.750, 0.125)
Ta (0.000, 0.000, 0.500)
Ta (0.000, 0.500, 0.750)
Ta (0.500, 0.000, 0.250)
Ta (0.500, 0.500, 0.000)
Be (0.000, 0.000, 0.000)
Be (0.000, 0.500, 0.250)
Be (0.500, 0.000, 0.750)
Be (0.500, 0.500, 0.500)



[11]
Compound: SrTa2Be
Source: Alexandria via LeMat-Bulk
Functional: PBE
Structure: relaxed

Properties
Size of the total moment ... 0.0000 μB/atom
Formation energy ... 575 meV per atom
VASP energy ... -6.703 eV/atom
SG ... P4mm (99)

a b c (Å): 2.934 2.934 9.093
angles (deg): 90.00 90.00 90.00
Fractional positions:
Sr (0.000, 0.000, 0.000)
Ta (0.000, 0.000, 0.571)
Ta (0.500, 0.500, 0.325)
Be (0.500, 0.500, 0.743)



[12]
Compound: SrTa2Be
Source: Alexandria via LeMat-Bulk
Functional: PBE
Structure: relaxed

Properties
Size of the total moment ... 0.0000 μB/atom
Formation energy ... 1156 meV per atom
VASP energy ... -6.123 eV/atom
SG ... Cmmm (65)

a b c (Å): 5.733 10.099 2.804
angles (deg): 90.00 90.00 90.00
Fractional positions:
Sr (0.000, 0.000, 0.000)
Sr (0.500, 0.500, 0.000)
Ta (0.250, 0.250, 0.500)
Ta (0.250, 0.750, 0.500)
Ta (0.750, 0.250, 0.500)
Ta (0.750, 0.750, 0.500)
Be (0.000, 0.500, 0.000)
Be (0.500, 0.000, 0.000)



[13]
Compound: SrTa3Be
Source: Alexandria via LeMat-Bulk
Functional: PBE
Structure: relaxed

Properties
Size of the total moment ... 0.0000 μB/atom
Distance to the lowest polymorph of the same formula ... 10.895 eV/f.u.
Formation energy ... 3221 meV per atom
VASP energy ... -4.972 eV/atom
SG ... Pm-3m (221)

a b c (Å): 4.841 4.841 4.841
angles (deg): 90.00 90.00 90.00
Fractional positions:
Sr (0.000, 0.000, 0.000)
Ta (0.000, 0.000, 0.500)
Ta (0.000, 0.500, 0.000)
Ta (0.500, 0.000, 0.000)
Be (0.500, 0.500, 0.500)



[14]
Compound: SrTaBe4
Source: Alexandria via LeMat-Bulk
Functional: PBE
Structure: relaxed

Properties
Size of the total moment ... 0.0000 μB/atom
Formation energy ... 506 meV per atom
VASP energy ... -4.234 eV/atom
SG ... F-43m (216)

a b c (Å): 4.895 4.895 4.895
angles (deg): 60.00 60.00 60.00
Fractional positions:
Sr (0.000, 0.000, 0.000)
Ta (0.250, 0.250, 0.250)
Be (0.149, 0.617, 0.617)
Be (0.617, 0.149, 0.617)
Be (0.617, 0.617, 0.149)
Be (0.617, 0.617, 0.617)



[15]
Compound: SrTa2Be
Source: Alexandria via LeMat-Bulk
Functional: PBE
Structure: relaxed

Properties
Size of the total moment ... 0.0000 μB/atom
Formation energy ... 1286 meV per atom
VASP energy ... -5.992 eV/atom
SG ... I4_1/amd (141)

a b c (Å): 4.911 4.911 18.127
angles (deg): 90.00 90.00 90.00
Fractional positions:
Sr (0.000, 0.250, 0.375)
Sr (0.000, 0.750, 0.625)
Sr (0.500, 0.250, 0.125)
Sr (0.500, 0.750, 0.875)
Ta (0.000, 0.000, 0.000)
Ta (0.000, 0.500, 0.000)
Ta (0.250, 0.250, 0.750)
Ta (0.250, 0.750, 0.250)
Ta (0.500, 0.000, 0.500)
Ta (0.500, 0.500, 0.500)
Ta (0.750, 0.250, 0.750)
Ta (0.750, 0.750, 0.250)
Be (0.000, 0.250, 0.875)
Be (0.000, 0.750, 0.125)
Be (0.500, 0.250, 0.625)
Be (0.500, 0.750, 0.375)



[16]
Compound: Sr2TaBe
Source: Alexandria via LeMat-Bulk
Functional: PBE
Structure: relaxed

Properties
Size of the total moment ... 0.1604 μB/atom
Formation energy ... 1116 meV per atom
VASP energy ... -3.620 eV/atom
SG ... Pmmm (47)

a b c (Å): 3.303 4.912 6.512
angles (deg): 90.00 90.00 90.00
Fractional positions:
Sr (0.000, 0.000, 0.244)
Sr (0.000, 0.000, 0.756)
Ta (0.500, 0.500, 0.500)
Be (0.500, 0.500, 0.000)



[17]
Compound: SrTa2Be
Source: Alexandria via LeMat-Bulk
Functional: PBE
Structure: relaxed

Properties
Size of the total moment ... 0.0001 μB/atom
Formation energy ... 855 meV per atom
VASP energy ... -6.424 eV/atom
SG ... R-3m (166)

a b c (Å): 3.168 3.168 27.680
angles (deg): 90.00 90.00 120.00
Fractional positions:
Sr (0.000, 0.000, 0.000)
Sr (0.333, 0.667, 0.667)
Sr (0.667, 0.333, 0.333)
Ta (0.000, 0.000, 0.225)
Ta (0.000, 0.000, 0.775)
Ta (0.333, 0.667, 0.441)
Ta (0.333, 0.667, 0.892)
Ta (0.667, 0.333, 0.108)
Ta (0.667, 0.333, 0.559)
Be (0.000, 0.000, 0.500)
Be (0.333, 0.667, 0.167)
Be (0.667, 0.333, 0.833)



[18]
Compound: Sr2TaBe
Source: Alexandria via LeMat-Bulk
Functional: PBE
Structure: relaxed

Properties
Size of the total moment ... 0.0020 μB/atom
Formation energy ... 1139 meV per atom
VASP energy ... -3.596 eV/atom
SG ... R-3m (166)

a b c (Å): 3.394 3.394 31.659
angles (deg): 90.00 90.00 120.00
Fractional positions:
Sr (0.000, 0.000, 0.245)
Sr (0.000, 0.000, 0.755)
Sr (0.333, 0.667, 0.421)
Sr (0.333, 0.667, 0.912)
Sr (0.667, 0.333, 0.088)
Sr (0.667, 0.333, 0.579)
Ta (0.000, 0.000, 0.000)
Ta (0.333, 0.667, 0.667)
Ta (0.667, 0.333, 0.333)
Be (0.000, 0.000, 0.500)
Be (0.333, 0.667, 0.167)
Be (0.667, 0.333, 0.833)



[19]
Compound: Sr2TaBe
Source: Alexandria via LeMat-Bulk
Functional: PBE
Structure: relaxed

Properties
Size of the total moment ... 0.3323 μB/atom
Formation energy ... 1188 meV per atom
VASP energy ... -3.548 eV/atom
SG ... P4/mmm (123)

a b c (Å): 4.603 4.603 4.931
angles (deg): 90.00 90.00 90.00
Fractional positions:
Sr (0.000, 0.500, 0.000)
Sr (0.500, 0.000, 0.000)
Ta (0.000, 0.000, 0.500)
Be (0.500, 0.500, 0.500)



[20]
Compound: SrTa2Be
Source: Alexandria via LeMat-Bulk
Functional: PBE
Structure: relaxed

Properties
Size of the total moment ... 0.0000 μB/atom
Formation energy ... 630 meV per atom
VASP energy ... -6.648 eV/atom
SG ... Immm (71)

a b c (Å): 2.935 5.003 10.816
angles (deg): 90.00 90.00 90.00
Fractional positions:
Sr (0.000, 0.000, 0.000)
Sr (0.500, 0.500, 0.500)
Ta (0.000, 0.500, 0.209)
Ta (0.000, 0.500, 0.791)
Ta (0.500, 0.000, 0.291)
Ta (0.500, 0.000, 0.709)
Be (0.000, 0.000, 0.500)
Be (0.500, 0.500, 0.000)



[21]
Compound: Sr2TaBe
Source: Alexandria via LeMat-Bulk
Functional: PBE
Structure: relaxed

Properties
Size of the total moment ... 0.3587 μB/atom
Formation energy ... 1166 meV per atom
VASP energy ... -3.570 eV/atom
SG ... I4/mmm (139)

a b c (Å): 4.678 4.678 9.670
angles (deg): 90.00 90.00 90.00
Fractional positions:
Sr (0.000, 0.500, 0.250)
Sr (0.000, 0.500, 0.750)
Sr (0.500, 0.000, 0.250)
Sr (0.500, 0.000, 0.750)
Ta (0.000, 0.000, 0.000)
Ta (0.500, 0.500, 0.500)
Be (0.000, 0.000, 0.500)
Be (0.500, 0.500, 0.000)



[22]
Compound: Sr2TaBe
Source: Alexandria via LeMat-Bulk
Functional: PBE
Structure: relaxed

Properties
Size of the total moment ... 0.0001 μB/atom
Formation energy ... 970 meV per atom
VASP energy ... -3.766 eV/atom
SG ... P4/mmm (123)

a b c (Å): 3.333 3.333 9.326
angles (deg): 90.00 90.00 90.00
Fractional positions:
Sr (0.000, 0.000, 0.228)
Sr (0.000, 0.000, 0.772)
Ta (0.500, 0.500, 0.500)
Be (0.500, 0.500, 0.000)



[23]
Compound: SrTa2Be
Source: Alexandria via LeMat-Bulk
Functional: PBE
Structure: relaxed

Properties
Size of the total moment ... 0.0000 μB/atom
Formation energy ... 698 meV per atom
VASP energy ... -6.580 eV/atom
SG ... Cm (8)

a b c (Å): 9.451 3.192 6.309
angles (deg): 90.00 102.21 90.00
Fractional positions:
Sr (0.000, 0.000, 0.000)
Sr (0.500, 0.500, 0.000)
Ta (0.200, 0.000, 0.579)
Ta (0.457, 0.000, 0.503)
Ta (0.700, 0.500, 0.579)
Ta (0.957, 0.500, 0.503)
Be (0.268, 0.500, 0.310)
Be (0.768, 0.000, 0.310)



[24]
Compound: SrTa3Be
Source: Alexandria via LeMat-Bulk
Functional: PBE
Structure: relaxed

Properties
Size of the total moment ... 0.0000 μB/atom
Distance to the lowest polymorph of the same formula ... 0.000 eV/f.u.
Formation energy ... 1042 meV per atom
VASP energy ... -7.151 eV/atom
SG ... Pm-3m (221)

a b c (Å): 4.686 4.686 4.686
angles (deg): 90.00 90.00 90.00
Fractional positions:
Sr (0.000, 0.000, 0.000)
Ta (0.000, 0.500, 0.500)
Ta (0.500, 0.000, 0.500)
Ta (0.500, 0.500, 0.000)
Be (0.500, 0.500, 0.500)



[25]
Compound: SrTa2Be
Source: Alexandria via LeMat-Bulk
Functional: PBE
Structure: relaxed

Properties
Size of the total moment ... 0.0000 μB/atom
Formation energy ... 643 meV per atom
VASP energy ... -6.635 eV/atom
SG ... P2/m (10)

a b c (Å): 2.895 3.428 8.225
angles (deg): 90.00 90.53 90.00
Fractional positions:
Sr (0.000, 0.000, 0.000)
Ta (0.438, 0.500, 0.661)
Ta (0.562, 0.500, 0.339)
Be (0.000, 0.000, 0.500)



[26]
Compound: Sr2TaBe
Source: Alexandria via LeMat-Bulk
Functional: PBE
Structure: relaxed

Properties
Size of the total moment ... 0.3937 μB/atom
Formation energy ... 1146 meV per atom
VASP energy ... -3.589 eV/atom
SG ... P4/mmm (123)

a b c (Å): 5.771 5.771 3.324
angles (deg): 90.00 90.00 90.00
Fractional positions:
Sr (0.000, 0.500, 0.000)
Sr (0.500, 0.000, 0.000)
Ta (0.000, 0.000, 0.500)
Be (0.500, 0.500, 0.500)



[27]
Compound: Sr2TaBe
Source: Alexandria via LeMat-Bulk
Functional: PBE
Structure: relaxed

Properties
Size of the total moment ... 0.6319 μB/atom
Formation energy ... 1193 meV per atom
VASP energy ... -3.543 eV/atom
SG ... I-4m2 (119)

a b c (Å): 4.829 4.829 9.134
angles (deg): 90.00 90.00 90.00
Fractional positions:
Sr (0.000, 0.000, 0.000)
Sr (0.000, 0.500, 0.250)
Sr (0.500, 0.000, 0.750)
Sr (0.500, 0.500, 0.500)
Ta (0.000, 0.500, 0.750)
Ta (0.500, 0.000, 0.250)
Be (0.000, 0.000, 0.500)
Be (0.500, 0.500, 0.000)



[28]
Compound: SrTa2Be
Source: Alexandria via LeMat-Bulk
Functional: PBE
Structure: relaxed

Properties
Size of the total moment ... 0.0000 μB/atom
Formation energy ... 1085 meV per atom
VASP energy ... -6.193 eV/atom
SG ... I4/mmm (139)

a b c (Å): 4.119 4.119 9.490
angles (deg): 90.00 90.00 90.00
Fractional positions:
Sr (0.000, 0.000, 0.000)
Sr (0.500, 0.500, 0.500)
Ta (0.000, 0.500, 0.250)
Ta (0.000, 0.500, 0.750)
Ta (0.500, 0.000, 0.250)
Ta (0.500, 0.000, 0.750)
Be (0.000, 0.000, 0.500)
Be (0.500, 0.500, 0.000)



[29]
Compound: Sr2TaBe
Source: Alexandria via LeMat-Bulk
Functional: PBE
Structure: relaxed

Properties
Size of the total moment ... 0.2140 μB/atom
Formation energy ... 650 meV per atom
VASP energy ... -4.085 eV/atom
SG ... C2/m (12)

a b c (Å): 18.558 3.490 3.678
angles (deg): 90.00 101.37 90.00
Fractional positions:
Sr (0.151, 0.000, 0.149)
Sr (0.349, 0.500, 0.851)
Sr (0.651, 0.500, 0.149)
Sr (0.849, 0.000, 0.851)
Ta (0.000, 0.000, 0.500)
Ta (0.500, 0.500, 0.500)
Be (0.000, 0.500, 0.000)
Be (0.500, 0.000, 0.000)



[30]
Compound: Sr2BeTc
Source: Alexandria via LeMat-Bulk
Functional: PBE
Structure: relaxed

Properties
Size of the total moment ... 0.0003 μB/atom
Formation energy ... 416 meV per atom
VASP energy ... -3.948 eV/atom
SG ... P4mm (99)

a b c (Å): 3.377 3.377 8.843
angles (deg): 90.00 90.00 90.00
Fractional positions:
Sr (0.000, 0.000, 0.000)
Sr (0.500, 0.500, 0.420)
Be (0.500, 0.500, 0.737)
Tc (0.000, 0.000, 0.679)